Material: AsRh
Method: DFT, SCAN
State: PBEsol geometry

Cell and atoms, written as CIF:
```
data_AsRh
_symmetry_space_group_name_H-M 'P 1'
_symmetry_Int_Tables_number 1
_cell_length_a 2.974
_cell_length_b 2.974
_cell_length_c 4.203
_cell_angle_alpha 69.28
_cell_angle_beta 69.28
_cell_angle_gamma 60.00
loop_
_symmetry_equiv_pos_as_xyz
'x,y,z'
loop_
_atom_site_label
_atom_site_type_symbol
_atom_site_fract_x
_atom_site_fract_y
_atom_site_fract_z
Rh1 Rh 0.500 0.500 0.500
As1 As 0.000 0.000 0.000
```

## Properties
- energy of formation from the pure elements (eV per formula unit) = -0.59
- density (kg/m3) = 10052

=====

Material: HfRe2P2
Method: DFT, SCAN
State: PBEsol geometry

Cell and atoms, written as CIF:
```
data_HfRe2P2
_symmetry_space_group_name_H-M 'P 1'
_symmetry_Int_Tables_number 1
_cell_length_a 4.136
_cell_length_b 4.136
_cell_length_c 5.296
_cell_angle_alpha 112.98
_cell_angle_beta 112.98
_cell_angle_gamma 90.00
loop_
_symmetry_equiv_pos_as_xyz
'x,y,z'
loop_
_atom_site_label
_atom_site_type_symbol
_atom_site_fract_x
_atom_site_fract_y
_atom_site_fract_z
P1 P 0.375 0.375 0.751
P2 P 0.625 0.625 0.249
Re1 Re 0.750 0.250 0.500
Re2 Re 0.250 0.750 0.500
Hf1 Hf 0.000 0.000 0.000
```

## Properties
- energy of formation from the pure elements (eV per formula unit) = -2.68
- density (kg/m3) = 13473